Entry 1:
TeMoAs2 PBE optimized geometry; raw formation energy = 4.6 kJ/mol of atoms; energy = -23.1 eV for the cell shown
1.0
3.309 0.000 0.000
0.000 3.309 0.000
0.000 0.000 7.613
Te Mo As
1 1 2
direct
0.000 0.000 0.000
0.500 0.500 0.779
0.000 0.000 0.594
0.500 0.500 0.412

Entry 2:
TeMoAs2 PBE optimized geometry; raw formation energy = 1.7 kJ/mol of atoms; energy = -23.2 eV for the cell shown
1.0
4.147 -1.695 0.000
4.147 1.695 0.000
-1.217 0.000 6.725
Te Mo As
1 1 2
direct
0.000 0.000 0.000
0.725 0.725 0.255
0.244 0.244 0.567
0.452 0.452 0.368

Entry 3:
TeMo3As PBE optimized geometry; raw formation energy = 108.0 kJ/mol of atoms; energy above the most stable polymorph in this dataset = 0.000 eV/atom; energy = -34.7 eV for the cell shown
1.0
4.688 0.000 0.000
0.000 4.688 0.000
0.000 0.000 4.688
Te Mo As
1 3 1
direct
0.000 0.000 0.000
0.000 0.500 0.500
0.500 0.000 0.500
0.500 0.500 0.000
0.500 0.500 0.500

Entry 4:
Te4MoAs PBE optimized geometry; raw formation energy = -0.6 kJ/mol of atoms; energy above the most stable polymorph in this dataset = 0.000 eV/atom; energy = -28.1 eV for the cell shown
1.0
7.040 -1.776 0.000
7.040 1.776 0.000
-1.413 0.000 7.219
Te Mo As
4 1 1
direct
0.117 0.117 0.362
0.382 0.382 0.162
0.618 0.618 0.838
0.883 0.883 0.638
0.500 0.500 0.500
0.000 0.000 0.000

Entry 5:
TeMoAs2 PBE optimized geometry; raw formation energy = 13.4 kJ/mol of atoms; energy = -22.7 eV for the cell shown
1.0
1.657 0.957 9.080
-1.657 0.957 9.080
0.000 -1.914 9.080
Te Mo As
1 1 2
direct
0.000 0.000 0.000
0.264 0.264 0.264
0.527 0.527 0.527
0.792 0.792 0.792

Entry 6:
TeMoAs2 PBE optimized geometry; raw formation energy = 27.2 kJ/mol of atoms; energy = -22.1 eV for the cell shown
1.0
3.769 0.000 0.000
0.000 4.895 0.000
-0.901 0.000 4.550
Te Mo As
1 1 2
direct
0.000 0.000 0.000
0.500 0.000 0.500
0.296 0.500 0.677
0.704 0.500 0.323

Entry 7:
Te3MoAs PBE optimized geometry; raw formation energy = 106.3 kJ/mol of atoms; energy above the most stable polymorph in this dataset = 0.434 eV/atom; energy = -19.4 eV for the cell shown
1.0
5.384 0.000 0.000
0.000 5.384 0.000
0.000 0.000 5.384
Te Mo As
3 1 1
direct
0.000 0.000 0.500
0.000 0.500 0.000
0.500 0.000 0.000
0.500 0.500 0.500
0.000 0.000 0.000

Entry 8:
TiMoAs2 PBE optimized geometry; formation energy from the elements = -378 meV per atom; energy above the most stable polymorph in this dataset = 0.213 eV/atom; energy = -29.5 eV for the cell shown
1.0
0.000 3.152 3.152
3.152 0.000 3.152
3.152 3.152 0.000
Ti Mo As
1 1 2
direct
0.000 0.000 0.000
0.500 0.500 0.500
0.250 0.250 0.250
0.750 0.750 0.750